DFT (PBE) results for a relaxed Zn2PbBr crystal.

As for the magnetic moment: 0.000 μB per formula unit. Its final energy is -2.018 eV/atom. The calculation puts the calculated density at 6.9 g/cm³. Its uncorrected formation energy is -36 meV/atom. The relative energy among the computed polymorphs is 0.17 eV per formula unit.

The space group is R-3m (No. 166, hexagonal axes) and the conventional cell measures 3.8642, 3.8642 and 23.3282 Å, with angles of 90.00, 90.00 and 120.00 degrees. The asymmetric unit holds Zn at (0.0000, 0.0000, 0.2487), Pb at (0.0000, 0.0000, 0.0000) and Br at (0.0000, 0.0000, 0.5000).

DFT (PBE) results for a relaxed PmNd2Dy4Er crystal.

As for the magnetic moment: 1.900 μB per formula unit. Its final energy is -4.243 eV/atom. The calculation puts the calculated density at 7.7 g/cm³.

The space group is C2/c (No. 15) and the conventional cell measures 13.6776, 13.2783 and 6.8225 Å, with angles of 90.00, 119.91 and 90.00 degrees. The asymmetric unit holds Pm at (0.2500, 0.2500, 0.0000), Nd at (0.0000, 0.0000, 0.0000), Nd at (0.2500, 0.2500, 0.5000), Dy at (0.9998, 0.2553, 0.9996), Dy at (0.2453, 0.5001, 0.4935) and Er at (0.0000, 0.5000, 0.0000).

DFT (PBE) results for a relaxed NiPtCl2 crystal.

As for the magnetic moment: 1.113 μB per formula unit. Its final energy is -3.797 eV/atom. The calculation puts the calculated density at 6.7 g/cm³. Its uncorrected formation energy is 82 meV/atom. The relative energy among the computed polymorphs is 1.21 eV per formula unit.

The space group is Cmm2 (No. 35) and the conventional cell measures 3.5506, 5.4653 and 8.2857 Å, with angles of 90.00, 90.00 and 90.00 degrees. The asymmetric unit holds Ni at (0.0000, 0.0000, 0.0000), Pt at (0.0000, 0.5000, 0.2035), Cl at (0.0000, 0.0000, 0.4061) and Cl at (0.0000, 0.5000, 0.8331).

DFT (PBE) results for a relaxed ZrP2Os crystal.

As for the magnetic moment: 0.526 μB per formula unit. Its final energy is -8.089 eV/atom. The calculation puts the calculated density at 9.1 g/cm³. The relative energy among the computed polymorphs is 0.79 eV per formula unit.

The space group is P4mm (No. 99) and the conventional cell measures 3.3328, 3.3328 and 5.6472 Å, with angles of 90.00, 90.00 and 90.00 degrees. The asymmetric unit holds Zr at (0.0000, 0.0000, 0.0000), P at (0.0000, 0.0000, 0.5124), P at (0.5000, 0.5000, 0.8059) and Os at (0.5000, 0.5000, 0.3651).

DFT (PBE) results for a relaxed CaMgTa3 crystal.

As for the magnetic moment: 0.000 μB per formula unit. Its final energy is -5.427 eV/atom. The calculation puts the calculated density at 9.0 g/cm³. The relative energy among the computed polymorphs is 3.26 eV per formula unit.

The space group is Pm-3m (No. 221) and the conventional cell measures 4.8150, 4.8150 and 4.8150 Å, with angles of 90.00, 90.00 and 90.00 degrees. The asymmetric unit holds Ca at (0.0000, 0.0000, 0.0000), Mg at (0.5000, 0.5000, 0.5000) and Ta at (0.0000, 0.0000, 0.5000).

DFT (PBE) results for a relaxed AcCdS2O8 crystal.

As for the magnetic moment: 0.734 μB per formula unit. Its final energy is -6.184 eV/atom. The calculation puts the calculated density at 4.3 g/cm³. Its uncorrected formation energy is -1772 meV/atom.

The space group is P-3m1 (No. 164) and the conventional cell measures 5.3258, 5.3258 and 8.3782 Å, with angles of 90.00, 90.00 and 120.00 degrees. The asymmetric unit holds Ac at (0.0000, 0.0000, 0.0000), Cd at (0.0000, 0.0000, 0.5000), S at (0.3333, 0.6667, 0.1885), O at (0.1801, 0.3601, 0.2439) and O at (0.3333, 0.6667, 0.0080).